Ta2TiMo: relaxed, GGA-PBE.

a = 7.026 Å, b = 7.026 Å, c = 7.026 Å
α = 42.14°, β = 155.81°, γ = 146.04°
Element x y z (fractional)
Ta (0.000, 0.304, 0.304)
Ta (0.000, 0.696, 0.696)
Ti (0.000, 0.000, 0.000)
Mo (0.000, 0.500, 0.500)

## Properties
The total moment comes out at 0.0 μB per formula unit. Its formation enthalpy at 0 K is 0.706 eV/atom. The space group is Immm, No. 71.

PmPd2Au3: relaxed, GGA-PBE.

a = 5.582 Å, b = 6.550 Å, c = 6.550 Å
α = 89.71°, β = 90.00°, γ = 90.00°
Element x y z (fractional)
Pm (0.250, 0.335, 0.335)
Pm (0.750, 0.665, 0.665)
Pd (0.500, 0.736, 0.264)
Pd (0.000, 0.736, 0.264)
Pd (0.000, 0.264, 0.736)
Pd (0.500, 0.264, 0.736)
Au (0.750, 0.420, 0.094)
Au (0.750, 0.094, 0.420)
Au (0.250, 0.580, 0.906)
Au (0.750, 0.995, 0.995)
Au (0.250, 0.005, 0.005)
Au (0.250, 0.906, 0.580)

## Properties
The total moment comes out at 0.0 μB per formula unit. Its formation enthalpy at 0 K is -0.483 eV/atom. The space group is Cmcm, No. 63.